No. 1
NbAgGe2: relaxed, PBE-GGA.

Structure (CIF):
```
data_NbAgGe2
_chemical_formula_sum 'Nb4 Ag4 Ge8'
_symmetry_space_group_name_H-M 'F -4 3 m'
_symmetry_Int_Tables_number 216
_symmetry_space_group_name_Hall 'F -4 2 3'
_cell_length_a 6.6170
_cell_length_b 6.6170
_cell_length_c 6.6170
_cell_angle_alpha 90.00
_cell_angle_beta 90.00
_cell_angle_gamma 90.00
loop_
_atom_site_label
_atom_site_type_symbol
_atom_site_fract_x
_atom_site_fract_y
_atom_site_fract_z
Nb1 Nb 0.0000 0.0000 0.0000
Ag1 Ag 0.2500 0.2500 0.2500
Ge1 Ge 0.0000 0.0000 0.5000
Ge2 Ge 0.2500 0.2500 0.7500
```

Properties
Offset from the most stable computed form in meV/atom: 561
VASP energy in eV for the cell shown: -81.840



No. 2
NbNiAgGe: relaxed, PBE-GGA.

Structure (CIF):
```
data_NbNiAgGe
_chemical_formula_sum 'Nb4 Ni4 Ag4 Ge4'
_symmetry_space_group_name_H-M 'F -4 3 m'
_symmetry_Int_Tables_number 216
_symmetry_space_group_name_Hall 'F -4 2 3'
_cell_length_a 6.2889
_cell_length_b 6.2889
_cell_length_c 6.2889
_cell_angle_alpha 90.00
_cell_angle_beta 90.00
_cell_angle_gamma 90.00
loop_
_atom_site_label
_atom_site_type_symbol
_atom_site_fract_x
_atom_site_fract_y
_atom_site_fract_z
Nb1 Nb 0.0000 0.0000 0.0000
Ni1 Ni 0.0000 0.0000 0.5000
Ag1 Ag 0.2500 0.2500 0.7500
Ge1 Ge 0.2500 0.2500 0.2500
```

Properties
VASP energy in eV for the cell shown: -90.508



No. 3
ZrNbAg2Ge4: relaxed, PBE-GGA.

Structure (CIF):
```
data_ZrNbAg2Ge4
_chemical_formula_sum 'Zr1 Nb1 Ag2 Ge4'
_symmetry_space_group_name_H-M 'P 4 m m'
_symmetry_Int_Tables_number 99
_cell_length_a 3.8357
_cell_length_b 3.8357
_cell_length_c 9.6375
_cell_angle_alpha 90.00
_cell_angle_beta 90.00
_cell_angle_gamma 90.00
loop_
_symmetry_equiv_pos_as_xyz
'x,y,z'
'-y,x,z'
'-x,-y,z'
'y,-x,z'
'-x,y,z'
'y,x,z'
'x,-y,z'
'-y,-x,z'
loop_
_atom_site_label
_atom_site_type_symbol
_atom_site_fract_x
_atom_site_fract_y
_atom_site_fract_z
Zr1 Zr 0.0000 0.0000 0.0000
Nb1 Nb 0.5000 0.5000 0.5622
Ag1 Ag 0.0000 0.5000 0.2831
Ge1 Ge 0.0000 0.0000 0.4890
Ge2 Ge 0.0000 0.5000 0.7732
Ge3 Ge 0.5000 0.5000 0.0752
```

Properties
VASP energy in eV for the cell shown: -44.875



No. 4
NdNiAgGe2: relaxed, PBE-GGA.

Structure (CIF):
```
data_NdNiAgGe2
_chemical_formula_sum 'Nd2 Ni2 Ag2 Ge4'
_symmetry_space_group_name_H-M 'I -4 m 2'
_symmetry_Int_Tables_number 119
_symmetry_space_group_name_Hall 'I -4 -2'
_cell_length_a 4.2372
_cell_length_b 4.2372
_cell_length_c 10.4909
_cell_angle_alpha 90.00
_cell_angle_beta 90.00
_cell_angle_gamma 90.00
loop_
_atom_site_label
_atom_site_type_symbol
_atom_site_fract_x
_atom_site_fract_y
_atom_site_fract_z
Nd1 Nd 0.0000 0.0000 0.0000
Ni1 Ni 0.0000 0.5000 0.2500
Ag1 Ag 0.0000 0.5000 0.7500
Ge1 Ge 0.0000 0.0000 0.3809
```

Properties
VASP energy in eV for the cell shown: -49.706



No. 5
NdAgGeO3: relaxed, PBE-GGA.

Structure (CIF):
```
data_NdAgGeO3
_chemical_formula_sum 'Nd4 Ag4 Ge4 O12'
_symmetry_space_group_name_H-M 'C m c m'
_symmetry_Int_Tables_number 63
_symmetry_space_group_name_Hall '-C 2c 2'
_cell_length_a 4.0240
_cell_length_b 9.5093
_cell_length_c 9.5694
_cell_angle_alpha 90.00
_cell_angle_beta 90.00
_cell_angle_gamma 90.00
loop_
_atom_site_label
_atom_site_type_symbol
_atom_site_fract_x
_atom_site_fract_y
_atom_site_fract_z
Nd1 Nd 0.0000 0.0000 0.0000
Ag1 Ag 0.0000 0.2958 0.2500
Ge1 Ge 0.0000 0.4522 0.7500
O1 O 0.0000 0.0643 0.2500
O2 O 0.0000 0.3671 0.5795
```

Properties
VASP energy in eV for the cell shown: -147.630



No. 6
NdAgGe2Pt: relaxed, PBE-GGA.

Structure (CIF):
```
data_NdAgGe2Pt
_chemical_formula_sum 'Nd2 Ag2 Ge4 Pt2'
_symmetry_space_group_name_H-M 'P 4/n m m'
_symmetry_Int_Tables_number 129
_cell_length_a 4.3772
_cell_length_b 4.3772
_cell_length_c 10.5248
_cell_angle_alpha 90.00
_cell_angle_beta 90.00
_cell_angle_gamma 90.00
loop_
_symmetry_equiv_pos_as_xyz
'x,y,z'
'-x,-y,-z'
'-y+1/2,x,z'
'y+1/2,-x,-z'
'-x+1/2,-y+1/2,z'
'x+1/2,y+1/2,-z'
'y,-x+1/2,z'
'-y,x+1/2,-z'
'x+1/2,-y,-z'
'-x+1/2,y,z'
'-y,-x,-z'
'y,x,z'
'-x,y+1/2,-z'
'x,-y+1/2,z'
'y+1/2,x+1/2,-z'
'-y+1/2,-x+1/2,z'
loop_
_atom_site_label
_atom_site_type_symbol
_atom_site_fract_x
_atom_site_fract_y
_atom_site_fract_z
Nd1 Nd 0.2500 0.2500 0.2426
Ag1 Ag 0.2500 0.7500 0.5000
Ge1 Ge 0.2500 0.2500 0.6474
Ge2 Ge 0.2500 0.7500 0.0000
Pt1 Pt 0.2500 0.2500 0.8813
```

Properties
VASP energy in eV for the cell shown: -52.860